# 1
First-principles (PBE) data for a relaxed Li3Sm2Ge2 crystal, as listed in Alexandria.

ΔE_f (eV per atom): -0.5018

CIF file:
```
data_Li3Sm2Ge2
_cell_length_a 10.178
_cell_length_b 4.643
_cell_length_c 6.278
_cell_angle_alpha 90.00
_cell_angle_beta 101.84
_cell_angle_gamma 90.00
_space_group_name_H-M_alt 'C 1 2/m 1'
_space_group_IT_number 12
_space_group_name_Hall '-C 2y'
loop_
_atom_site_label
_atom_site_fract_x
_atom_site_fract_y
_atom_site_fract_z
Li1 0.000 0.000 0.000
Li2 0.115 0.000 0.430
Sm1 0.146 0.500 0.767
Ge1 0.156 0.500 0.252
```



# 2
First-principles (PBE) data for a relaxed TaCrW2 crystal, as listed in Alexandria.

E above lowest polymorph (meV per atom): 391
ΔE_f (eV per atom): 0.3597

CIF file:
```
data_TaCrW2
_cell_length_a 5.267
_cell_length_b 9.139
_cell_length_c 2.667
_cell_angle_alpha 90.00
_cell_angle_beta 90.00
_cell_angle_gamma 90.00
_space_group_name_H-M_alt 'C m m m'
_space_group_IT_number 65
_space_group_name_Hall '-C 2 2'
loop_
_atom_site_label
_atom_site_fract_x
_atom_site_fract_y
_atom_site_fract_z
Ta1 0.000 0.000 0.000
Cr1 0.000 0.500 0.000
W1 0.250 0.250 0.500
```



# 3
First-principles (PBE) data for a relaxed Pm12Ga6Ru crystal, as listed in Alexandria.

ΔE_f (eV per atom): -0.2029

CIF file:
```
data_Pm12Ga6Ru
_cell_length_a 13.0397
_cell_length_b 13.0397
_cell_length_c 12.2246
_cell_angle_alpha 90.00
_cell_angle_beta 90.00
_cell_angle_gamma 120.00
_space_group_name_H-M_alt 'R -3'
_space_group_IT_number 148
_space_group_name_Hall '-R 3'
loop_
_atom_site_label
_atom_site_fract_x
_atom_site_fract_y
_atom_site_fract_z
Pm1 0.0374 0.2104 0.3929
Pm2 0.0549 0.2012 0.8826
Ga1 0.0546 0.2760 0.6431
Ru1 0.0000 0.0000 0.0000
```



# 4
First-principles (PBE) data for a relaxed SrAcCdIn crystal, as listed in Alexandria.

ΔE_f (eV per atom): -0.3969

CIF file:
```
data_SrAcCdIn
_cell_length_a 8.172
_cell_length_b 8.172
_cell_length_c 8.172
_cell_angle_alpha 90.00
_cell_angle_beta 90.00
_cell_angle_gamma 90.00
_space_group_name_H-M_alt 'F -4 3 m'
_space_group_IT_number 216
_space_group_name_Hall 'F -4 2 3'
loop_
_atom_site_label
_atom_site_fract_x
_atom_site_fract_y
_atom_site_fract_z
Sr1 0.000 0.000 0.000
Ac1 0.000 0.000 0.500
Cd1 0.250 0.250 0.250
In1 0.250 0.250 0.750
```



# 5
First-principles (PBE) data for a relaxed Ba6InIr crystal, as listed in Alexandria.

E above lowest polymorph (meV per atom): 0
ΔE_f (eV per atom): -0.1450

CIF file:
```
data_Ba6InIr
_cell_length_a 8.491
_cell_length_b 13.290
_cell_length_c 7.998
_cell_angle_alpha 90.00
_cell_angle_beta 104.90
_cell_angle_gamma 90.00
_space_group_name_H-M_alt 'C 1 2/m 1'
_space_group_IT_number 12
_space_group_name_Hall '-C 2y'
loop_
_atom_site_label
_atom_site_fract_x
_atom_site_fract_y
_atom_site_fract_z
Ba1 0.192 0.160 0.245
Ba2 0.239 0.500 0.207
In1 0.000 0.500 0.500
Ir1 0.000 0.000 0.000
```



# 6
First-principles (PBE) data for a relaxed ScHgIrO6 crystal, as listed in Alexandria.

Uncorrected formation energy (meV/atom): -1213

CIF file:
```
data_ScHgIrO6
_cell_length_a 5.3673
_cell_length_b 5.3673
_cell_length_c 9.5134
_cell_angle_alpha 90.00
_cell_angle_beta 90.00
_cell_angle_gamma 120.00
_space_group_name_H-M_alt 'P -3 1 c'
_space_group_IT_number 163
_space_group_name_Hall '-P 3 2c'
loop_
_atom_site_label
_atom_site_fract_x
_atom_site_fract_y
_atom_site_fract_z
Sc1 0.3333 0.6667 0.2500
Hg1 0.0000 0.0000 0.0000
Ir1 0.3333 0.6667 0.7500
O1 0.0245 0.3833 0.6363
```



# 7
First-principles (PBE) data for a relaxed ZnCd6Hg2 crystal, as listed in Alexandria.

E above lowest polymorph (meV per atom): 4
ΔE_f (eV per atom): 0.0479

CIF file:
```
data_ZnCd6Hg2
_cell_length_a 13.673
_cell_length_b 7.200
_cell_length_c 4.768
_cell_angle_alpha 90.00
_cell_angle_beta 108.28
_cell_angle_gamma 90.00
_space_group_name_H-M_alt 'C 1 2/m 1'
_space_group_IT_number 12
_space_group_name_Hall '-C 2y'
loop_
_atom_site_label
_atom_site_fract_x
_atom_site_fract_y
_atom_site_fract_z
Zn1 0.000 0.000 0.000
Cd1 0.000 0.210 0.500
Cd2 0.160 0.258 0.152
Hg1 0.163 0.500 0.652
```



# 8
First-principles (PBE) data for a relaxed Cu2AgSn crystal, as listed in Alexandria.

ΔE_f (eV per atom): 0.0984

CIF file:
```
data_Cu2AgSn
_cell_length_a 3.323
_cell_length_b 3.323
_cell_length_c 5.980
_cell_angle_alpha 90.00
_cell_angle_beta 90.00
_cell_angle_gamma 90.00
_space_group_name_H-M_alt 'P 4/m m m'
_space_group_IT_number 123
_space_group_name_Hall '-P 4 2'
loop_
_atom_site_label
_atom_site_fract_x
_atom_site_fract_y
_atom_site_fract_z
Cu1 0.000 0.000 0.233
Ag1 0.500 0.500 0.000
Sn1 0.500 0.500 0.500
```



# 9
First-principles (PBE) data for a relaxed KRbMnCr2 crystal, as listed in Alexandria.

ΔE_f (eV per atom): 1.0481

CIF file:
```
data_KRbMnCr2
_cell_length_a 4.830
_cell_length_b 4.830
_cell_length_c 6.301
_cell_angle_alpha 90.00
_cell_angle_beta 90.00
_cell_angle_gamma 90.00
_space_group_name_H-M_alt 'P 4/m m m'
_space_group_IT_number 123
_space_group_name_Hall '-P 4 2'
loop_
_atom_site_label
_atom_site_fract_x
_atom_site_fract_y
_atom_site_fract_z
K1 0.000 0.000 0.000
Rb1 0.500 0.500 0.000
Mn1 0.000 0.000 0.500
Cr1 0.000 0.500 0.500
```



# 10
First-principles (PBE) data for a relaxed CsK3Re2O8 crystal, as listed in Alexandria.

Uncorrected formation energy (meV/atom): -1682

CIF file:
```
data_CsK3Re2O8
_cell_length_a 6.3396
_cell_length_b 6.3396
_cell_length_c 9.1439
_cell_angle_alpha 90.00
_cell_angle_beta 90.00
_cell_angle_gamma 120.00
_space_group_name_H-M_alt 'P -3 m 1'
_space_group_IT_number 164
_space_group_name_Hall '-P 3 2"'
loop_
_atom_site_label
_atom_site_fract_x
_atom_site_fract_y
_atom_site_fract_z
Cs1 0.0000 0.0000 0.0000
K1 0.0000 0.0000 0.5000
K2 0.3333 0.6667 0.2186
Re1 0.3333 0.6667 0.6863
O1 0.1793 0.3587 0.7571
O2 0.3333 0.6667 0.4904
```



# 11
First-principles (PBE) data for a relaxed TiAg6 crystal, as listed in Alexandria.

ΔE_f (eV per atom): 1.0278

CIF file:
```
data_TiAg6
_cell_length_a 7.392
_cell_length_b 7.392
_cell_length_c 7.392
_cell_angle_alpha 90.00
_cell_angle_beta 90.00
_cell_angle_gamma 90.00
_space_group_name_H-M_alt 'I m -3 m'
_space_group_IT_number 229
_space_group_name_Hall '-I 4 2 3'
loop_
_atom_site_label
_atom_site_fract_x
_atom_site_fract_y
_atom_site_fract_z
Ti1 0.000 0.000 0.000
Ag1 0.000 0.250 0.500
```



# 12
First-principles (PBE) data for a relaxed GdTmMgAl crystal, as listed in Alexandria.

ΔE_f (eV per atom): -0.2635

CIF file:
```
data_GdTmMgAl
_cell_length_a 7.338
_cell_length_b 7.338
_cell_length_c 7.338
_cell_angle_alpha 90.00
_cell_angle_beta 90.00
_cell_angle_gamma 90.00
_space_group_name_H-M_alt 'F -4 3 m'
_space_group_IT_number 216
_space_group_name_Hall 'F -4 2 3'
loop_
_atom_site_label
_atom_site_fract_x
_atom_site_fract_y
_atom_site_fract_z
Gd1 0.000 0.000 0.000
Tm1 0.000 0.000 0.500
Mg1 0.250 0.250 0.250
Al1 0.250 0.250 0.750
```



VASP energy values, unit Ry per atom, following the record order: -0.29323, -0.84420, -0.34158, -0.20270, -0.22321, -0.45865, -0.05666, -0.26924, -0.37103, -0.48432, -0.18698, -0.45833.